# PBE KCa2OsSe, relaxed
# - N(E_F): 2.84 states/eV/cell
# - ΔE_f (raw): 0.3214 eV per atom
# - Spin magnetization: 0.000 μB/atom
data_KCa2OsSe
_space_group_name_H-M_alt 'P 4/m m m'
_space_group_IT_number 123
_space_group_name_Hall '-P 4 2'
_cell_length_a 5.389
_cell_length_b 5.389
_cell_length_c 5.453
_cell_angle_alpha 90.00
_cell_angle_beta 90.00
_cell_angle_gamma 90.00
loop_
_atom_site_label
_atom_site_fract_x
_atom_site_fract_y
_atom_site_fract_z
K1 0.000 0.000 0.000
Ca1 0.000 0.500 0.500
Os1 0.000 0.000 0.500
Se1 0.500 0.500 0.000